The following is a PBE+U calculation of a relaxed structure of Pm3MnO7, from Alexandria via LeMat-Bulk.

Cell lengths 6.579, 6.579, 7.542 Å; angles 90.00, 90.00, 109.15 degrees
Sites, in units of the cell vectors:
Pm1 0.029 0.029 0.000
Pm2 0.039 0.496 0.256
Pm3 0.496 0.039 0.744
Pm4 0.504 0.961 0.244
Pm5 0.961 0.504 0.756
Pm6 0.971 0.971 0.500
Mn1 0.496 0.496 0.000
Mn2 0.504 0.504 0.500
O1 0.130 0.870 0.750
O2 0.135 0.865 0.250
O3 0.184 0.425 0.975
O4 0.196 0.437 0.534
O5 0.425 0.184 0.025
O6 0.436 0.564 0.250
O7 0.437 0.196 0.466
O8 0.563 0.804 0.966
O9 0.564 0.436 0.750
O10 0.575 0.816 0.525
O11 0.804 0.563 0.034
O12 0.816 0.575 0.475
O13 0.865 0.135 0.750
O14 0.870 0.130 0.250

Computed properties:
- Uncorrected energy: -0.286 Ha/atom